(1)
Here is a PBEsol-optimized structure of Nd2Fe12P7 from Alexandria via LeMat-Bulk. Energies are from SCAN.

Cell: 8.8974 8.8974 3.6275 Å, 90.00 90.00 120.00°
Space group P-6 (No. 174)
One atom of each set of equivalent atoms:
Nd1 0.0000 0.0000 0.0000 (multiplicity 1)
Nd2 0.3333 0.6667 0.5000 (multiplicity 1)
Fe1 0.0349 0.7573 0.5000 (multiplicity 3)
Fe2 0.0976 0.3822 0.0000 (multiplicity 3)
Fe3 0.4559 0.2365 0.0000 (multiplicity 3)
Fe4 0.5157 0.0619 0.5000 (multiplicity 3)
P1 0.0615 0.6230 0.0000 (multiplicity 3)
P2 0.2606 0.0339 0.5000 (multiplicity 3)
P3 0.6667 0.3333 0.5000 (multiplicity 1)

Total DFT energy (no corrections) (Ha/atom): -0.682
Energy of formation from the pure elements (kJ/mol of atoms): -55.2

(2)
Here is a PBEsol-optimized structure of MgAlCrS4 from Alexandria via LeMat-Bulk. Energies are from SCAN.

Cell: 7.119 7.165 10.127 Å, 90.00 90.00 90.00°
Space group Imma (No. 74)
One atom of each set of equivalent atoms:
Mg1 0.000 0.250 0.126 (multiplicity 4)
Al1 0.250 0.250 0.750 (multiplicity 4)
Cr1 0.000 0.000 0.500 (multiplicity 4)
S1 0.000 0.024 0.736 (multiplicity 8)
S2 0.223 0.250 0.513 (multiplicity 8)

Total DFT energy (no corrections) (Ha/atom): -0.415
Uncorrected formation energy (eV per atom): -1.351

(3)
Here is a PBEsol-optimized structure of TcPOs2 from Alexandria via LeMat-Bulk. Energies are from SCAN.

Cell: 2.793 3.784 5.250 Å, 90.00 90.00 90.00°
Space group Pmm2 (No. 25)
One atom of each set of equivalent atoms:
Tc1 0.000 0.000 0.000 (multiplicity 1)
P1 0.500 0.500 0.850 (multiplicity 1)
Os1 0.000 0.000 0.526 (multiplicity 1)
Os2 0.500 0.500 0.337 (multiplicity 1)

Total DFT energy (no corrections) (Ha/atom): -1.730
Energy of formation from the pure elements (kJ/mol of atoms): 22.5

(4)
Here is a PBEsol-optimized structure of MgReSi2 from Alexandria via LeMat-Bulk. Energies are from SCAN.

Cell: 4.036 3.033 9.388 Å, 90.00 90.00 90.00°
Space group Amm2 (No. 38)
One atom of each set of equivalent atoms:
Mg1 0.000 0.000 0.000 (multiplicity 2)
Re1 0.500 0.000 0.311 (multiplicity 2)
Si1 0.000 0.000 0.739 (multiplicity 2)
Si2 0.500 0.000 0.595 (multiplicity 2)

Total DFT energy (no corrections) (Ha/atom): -0.880
Uncorrected formation energy (eV per atom): 0.086

(5)
Here is a PBEsol-optimized structure of NiAs2Ir from Alexandria via LeMat-Bulk. Energies are from SCAN.

Cell: 2.918 2.918 7.420 Å, 90.00 90.00 90.00°
Space group P4mm (No. 99)
One atom of each set of equivalent atoms:
Ni1 0.000 0.000 0.000 (multiplicity 1)
As1 0.000 0.000 0.560 (multiplicity 1)
As2 0.500 0.500 0.164 (multiplicity 1)
Ir1 0.500 0.500 0.758 (multiplicity 1)

Total DFT energy (no corrections) (Ha/atom): -1.176
Energy above the most stable polymorph in this dataset (meV per atom): 0
Energy of formation from the pure elements (kJ/mol of atoms): -9.0

(6)
Here is a PBEsol-optimized structure of LaBe from Alexandria via LeMat-Bulk. Energies are from SCAN.

Cell: 3.5993 3.5993 12.9679 Å, 90.00 90.00 120.00°
Space group R-3m (No. 166, hexagonal axes)
One atom of each set of equivalent atoms:
La1 0.0000 0.0000 0.0000 (multiplicity 3)
Be1 0.0000 0.0000 0.5000 (multiplicity 3)

Total DFT energy (no corrections) (Ha/atom): -0.852
Energy above the most stable polymorph in this dataset (meV per atom): 147
Energy of formation from the pure elements (kJ/mol of atoms): 53.1

(7)
Here is a PBEsol-optimized structure of SrLa2HF from Alexandria via LeMat-Bulk. Energies are from SCAN.

Cell: 6.007 6.007 3.948 Å, 90.00 90.00 90.00°
Space group P4/mmm (No. 123)
One atom of each set of equivalent atoms:
Sr1 0.000 0.000 0.000 (multiplicity 1)
La1 0.000 0.500 0.000 (multiplicity 2)
H1 0.000 0.000 0.500 (multiplicity 1)
F1 0.500 0.500 0.500 (multiplicity 1)

Total DFT energy (no corrections) (Ha/atom): -0.841

(8)
Here is a PBEsol-optimized structure of CdCoAg2 from Alexandria via LeMat-Bulk. Energies are from SCAN.

Cell: 2.8206 2.8206 27.3986 Å, 90.00 90.00 120.00°
Space group R3m (No. 160, hexagonal axes)
One atom of each set of equivalent atoms:
Cd1 0.0000 0.0000 0.0000 (multiplicity 3)
Co1 0.0000 0.0000 0.2537 (multiplicity 3)
Ag1 0.0000 0.0000 0.5103 (multiplicity 3)
Ag2 0.0000 0.0000 0.7572 (multiplicity 3)

Total DFT energy (no corrections) (Ha/atom): -1.008
Energy of formation from the pure elements (kJ/mol of atoms): 19.1

(9)
Here is a PBEsol-optimized structure of BaReH9 from Alexandria via LeMat-Bulk. Energies are from SCAN.

Cell: 6.8390 6.8390 7.3496 Å, 90.00 90.00 120.00°
Space group R32 (No. 155, hexagonal axes)
One atom of each set of equivalent atoms:
Ba1 0.0000 0.0000 0.0000 (multiplicity 3)
Re1 0.0000 0.0000 0.5000 (multiplicity 3)
H1 0.0000 0.2446 0.5000 (multiplicity 9)
H2 0.0163 0.8333 0.6639 (multiplicity 18)

Total DFT energy (no corrections) (Ha/atom): -0.483
Energy above the most stable polymorph in this dataset (meV per atom): 66

(10)
Here is a PBEsol-optimized structure of BaFeAu from Alexandria via LeMat-Bulk. Energies are from SCAN.

Cell: 6.761 6.761 6.761 Å, 90.00 90.00 90.00°
Space group F-43m (No. 216)
One atom of each set of equivalent atoms:
Ba1 0.000 0.000 0.000 (multiplicity 4)
Fe1 0.250 0.250 0.750 (multiplicity 4)
Au1 0.000 0.000 0.500 (multiplicity 4)

Total DFT energy (no corrections) (Ha/atom): -1.545
Energy of formation from the pure elements (kJ/mol of atoms): 23.4

(11)
Here is a PBEsol-optimized structure of Zn3Fe from Alexandria via LeMat-Bulk. Energies are from SCAN.

Cell: 2.594 2.594 7.679 Å, 90.00 90.00 90.00°
Space group P4/mmm (No. 123)
One atom of each set of equivalent atoms:
Zn1 0.000 0.000 0.000 (multiplicity 1)
Zn2 0.500 0.500 0.263 (multiplicity 2)
Fe1 0.000 0.000 0.500 (multiplicity 1)

Total DFT energy (no corrections) (Ha/atom): -0.540
Energy of formation from the pure elements (kJ/mol of atoms): -2.6

(12)
Here is a PBEsol-optimized structure of Te2AsPbI from Alexandria via LeMat-Bulk. Energies are from SCAN.

Cell: 5.800 5.800 5.864 Å, 90.00 90.00 90.00°
Space group P4/mmm (No. 123)
One atom of each set of equivalent atoms:
Te1 0.000 0.500 0.000 (multiplicity 2)
As1 0.000 0.000 0.500 (multiplicity 1)
Pb1 0.500 0.500 0.000 (multiplicity 1)
I1 0.500 0.500 0.500 (multiplicity 1)

Total DFT energy (no corrections) (Ha/atom): -1.494
Uncorrected formation energy (eV per atom): 0.802